1.
DFT (PBE-GGA) results for a relaxed LuPb3 crystal.

Calculated values
- ΔE_f: -14 kJ per mole of atoms
- Total magnetic moment: 0.00 μB/cell
- Crystal system: orthorhombic

abc: 3.548 5.715 6.624
angles: 115.55 105.53 90.00
Positions (direct):
1 Pb 0.745 0.092 0.490
2 Pb 0.255 0.602 0.510
3 Pb 0.500 0.480 0.000
4 Lu 0.000 0.992 0.000

2.
DFT (PBE-GGA) results for a relaxed CsIBr6 crystal.

Calculated values
- Total magnetic moment: 0.00 μB/cell
- Uncorrected formation energy: -0.46 eV per atom
- Crystal system: monoclinic

abc: 7.624 7.624 6.949
angles: 74.55 74.55 99.40
Positions (direct):
1 Cs 0.500 0.500 0.500
2 Br 0.643 0.019 0.360
3 Br 0.250 0.250 0.069
4 Br 0.981 0.357 0.640
5 Br 0.750 0.750 0.931
6 Br 0.357 0.981 0.640
7 Br 0.019 0.643 0.360
8 I 0.000 0.000 0.000

3.
DFT (PBE-GGA) results for a relaxed MgMnRu crystal.

Calculated values
- ΔE_f: 19 kJ per mole of atoms
- Total magnetic moment: 3.29 μB/cell
- Crystal system: trigonal
- Energy above the lowest structure with this stoichiometry: 2.09 kcal/mol of atoms

abc: 4.344 4.344 2.751
angles: 90.00 90.00 120.00
Each line ends with the local moment (μB).
Positions (direct):
1 Mn 0.667 0.333 0.385  3.12
2 Mg 0.000 0.000 0.006  -0.02
3 Ru 0.333 0.667 0.608  0.10

4.
DFT (PBE-GGA) results for a relaxed Na2PbO2 crystal.

Calculated values
- Total magnetic moment: 0.00 μB/cell
- Uncorrected formation energy: -1.26 eV per atom
- Crystal system: orthorhombic
- Energy above the lowest structure with this stoichiometry: 0.95 kcal/mol of atoms

abc: 3.472 6.055 8.915
angles: 90.00 101.23 90.00
Positions (direct):
1 O 0.659 0.536 0.319
2 O 0.846 0.487 0.692
3 O 0.341 0.036 0.681
4 O 0.154 0.987 0.308
5 Pb 0.411 0.328 0.821
6 Pb 0.589 0.828 0.179
7 Na 0.754 0.173 0.508
8 Na 0.246 0.673 0.492
9 Na 0.110 0.341 0.220
10 Na 0.890 0.841 0.780

5.
DFT (PBE-GGA) results for a relaxed MoAsOs2 crystal.

Calculated values
- ΔE_f: 48 kJ per mole of atoms
- Total magnetic moment: 0.00 μB/cell
- Crystal system: tetragonal

abc: 2.992 4.509 4.509
angles: 90.00 90.00 90.00
Positions (direct):
1 Mo 0.500 0.000 0.500
2 Os 0.000 0.000 0.000
3 Os 0.000 0.500 0.500
4 As 0.500 0.500 0.000

6.
DFT (PBE-GGA) results for a relaxed GePdO2 crystal.

Calculated values
- Total magnetic moment: 0.34 μB/cell
- Uncorrected formation energy: -0.60 eV per atom
- Crystal system: tetragonal

abc: 5.219 5.219 5.515
angles: 61.76 61.76 90.00
Each line ends with the local moment (μB).
Positions (direct):
1 O 0.228 0.625 0.250  0.00
2 O 0.875 0.772 0.750  0.00
3 O 0.375 0.478 0.750  0.00
4 O 0.522 0.125 0.250  0.00
5 Pd 0.750 0.250 0.500  0.19
6 Pd 0.000 0.000 0.000  0.19
7 Ge 0.250 0.750 0.500  -0.01
8 Ge 0.500 0.500 0.000  -0.01